The following is a PBE calculation of a geometry-optimized EuCo2Ge2 structure, from Alexandria via LeMat-Bulk.

Unit cell a=4.001 b=4.001 c=5.975 alpha=109.56 beta=109.56 gamma=90.00
Last column: magnetic moment on the atom in μB.
Fractional positions:
Co: 0.250 0.750 0.500  0.00
Co: 0.750 0.250 0.500  0.00
Ge: 0.366 0.366 0.732  0.01
Ge: 0.634 0.634 0.268  0.01
Eu: 0.000 0.000 0.000  -6.72

***

The following is a PBE calculation of a geometry-optimized Dy8Co2Hg structure, from Alexandria via LeMat-Bulk.

Unit cell a=5.355 b=7.799 c=7.799 alpha=113.83 beta=97.38 gamma=97.38
Fractional positions:
Dy: 0.425 0.672 0.934
Dy: 0.197 0.388 0.388
Dy: 0.000 0.250 0.756
Dy: 0.425 0.934 0.672
Dy: 0.575 0.335 0.072
Dy: 0.575 0.072 0.335
Dy: 0.803 0.618 0.618
Dy: 0.000 0.756 0.250
Co: 0.500 0.308 0.698
Co: 0.500 0.698 0.308
Hg: 0.001 0.003 0.003

***

no.,calculated formation energy (kJ/mol of atoms)
1,-48.4
2,-10.5